No. 1
DFT (GGA-PBE) results for InHg2Br after structural relaxation.

Structure (POSCAR):
```
InHg2Br
1.0
5.2625 0.0000 0.0000
0.0000 5.0173 0.0000
-1.5756 0.0000 5.0575
In Hg Br
1 2 1
direct
0.0000 0.0000 0.0000
0.2315 0.5000 0.7682
0.7685 0.5000 0.2318
0.5000 0.0000 0.5000
```

Results
Its magnetic moment is 0.000 Bohr magnetons per cell. The value obtained for the uncorrected formation energy is -278 meV per atom. As for the energy above the lowest structure with this stoichiometry: 41 meV/atom.



No. 2
DFT (GGA-PBE) results for InHg2Br6 after structural relaxation.

Structure (POSCAR):
```
InHg2Br6
1.0
6.6722 -2.0500 0.0000
6.6722 2.0500 0.0000
-4.9232 0.0000 11.1133
In Hg Br
1 2 6
direct
0.0000 0.0000 0.0000
0.3215 0.3215 0.6548
0.6785 0.6785 0.3452
0.0008 0.0008 0.2215
0.3427 0.3427 0.4219
0.3444 0.3444 0.9329
0.6556 0.6556 0.0671
0.6573 0.6573 0.5781
0.9992 0.9992 0.7785
```

Results
Its magnetic moment is 0.000 Bohr magnetons per cell. The value obtained for the uncorrected formation energy is -460 meV per atom. As for the energy above the lowest structure with this stoichiometry: 30 meV/atom.



No. 3
DFT (GGA-PBE) results for In4Hg5Br2 after structural relaxation.

Structure (POSCAR):
```
In4Hg5Br2
1.0
3.7831 0.0000 0.0000
-0.0345 7.4123 0.0000
-1.7665 -0.8251 11.9197
In Hg Br
4 5 2
direct
0.0472 0.3046 0.0965
0.3218 0.6637 0.6473
0.6782 0.3363 0.3527
0.9528 0.6954 0.9035
0.1306 0.9698 0.2562
0.4248 0.3483 0.8516
0.5000 0.0000 0.0000
0.5752 0.6517 0.1484
0.8694 0.0302 0.7438
0.2630 0.2708 0.5380
0.7370 0.7292 0.4620
```

Results
Its magnetic moment is 0.000 Bohr magnetons per cell. The value obtained for the uncorrected formation energy is -176 meV per atom.



No. 4
DFT (GGA-PBE) results for InHg2Br after structural relaxation.

Structure (POSCAR):
```
InHg2Br
1.0
3.1397 -3.8826 0.0000
3.1397 3.8826 0.0000
0.0000 0.0000 5.4484
In Hg Br
1 2 1
direct
0.0000 0.0000 0.0000
0.2289 0.7711 0.5000
0.7711 0.2289 0.5000
0.5000 0.5000 0.0000
```

Results
Its magnetic moment is 0.000 Bohr magnetons per cell. The value obtained for the uncorrected formation energy is -278 meV per atom. As for the energy above the lowest structure with this stoichiometry: 41 meV/atom.



No. 5
DFT (GGA-PBE) results for InHg2Br after structural relaxation.

Structure (POSCAR):
```
InHg2Br
1.0
4.5293 0.0000 0.0000
0.0000 4.6570 0.0000
0.0000 0.0000 5.9586
In Hg Br
1 2 1
direct
0.0000 0.0000 0.0000
0.0000 0.5000 0.5000
0.5000 0.0000 0.5000
0.5000 0.5000 0.0000
```

Results
Its magnetic moment is 0.000 Bohr magnetons per cell. The value obtained for the uncorrected formation energy is -270 meV per atom. As for the energy above the lowest structure with this stoichiometry: 49 meV/atom.



No. 6
DFT (GGA-PBE) results for In2Hg2Br after structural relaxation.

Structure (POSCAR):
```
In2Hg2Br
1.0
7.0178 0.0000 0.0000
0.0000 3.6454 0.0000
-0.3008 0.0000 11.5425
In Hg Br
4 4 2
direct
0.0619 0.2500 0.2239
0.3833 0.2500 0.8200
0.6167 0.7500 0.1800
0.9381 0.7500 0.7761
0.1405 0.2500 0.5773
0.4315 0.2500 0.3812
0.5685 0.7500 0.6188
0.8595 0.7500 0.4227
0.2455 0.7500 0.0307
0.7545 0.2500 0.9693
```

Results
Its magnetic moment is 0.000 Bohr magnetons per cell. The value obtained for the uncorrected formation energy is -181 meV per atom. As for the energy above the lowest structure with this stoichiometry: 24 meV/atom.



No. 7
DFT (GGA-PBE) results for In3HgBr3 after structural relaxation.

Structure (POSCAR):
```
In3HgBr3
1.0
9.0329 0.0000 0.0000
0.0000 9.0329 0.0000
0.0000 0.0000 9.0329
In Hg Br
6 2 6
direct
0.0000 0.2500 0.5000
0.0000 0.7500 0.5000
0.2500 0.5000 0.0000
0.5000 0.0000 0.2500
0.5000 0.0000 0.7500
0.7500 0.5000 0.0000
0.0000 0.0000 0.0000
0.5000 0.5000 0.5000
0.0000 0.5000 0.2500
0.0000 0.5000 0.7500
0.2500 0.0000 0.5000
0.5000 0.2500 0.0000
0.5000 0.7500 0.0000
0.7500 0.0000 0.5000
```

Results
Its magnetic moment is 0.000 Bohr magnetons per cell. The value obtained for the uncorrected formation energy is -466 meV per atom. As for the energy above the lowest structure with this stoichiometry: 78 meV/atom.



No. 8
DFT (GGA-PBE) results for In2Hg2Br after structural relaxation.

Structure (POSCAR):
```
In2Hg2Br
1.0
-2.8395 2.8395 4.9133
2.8395 -2.8395 4.9133
2.8395 2.8395 -4.9133
In Hg Br
2 2 1
direct
0.2500 0.7500 0.5000
0.7500 0.2500 0.5000
0.1528 0.1528 0.0000
0.8472 0.8472 0.0000
0.5000 0.5000 0.0000
```

Results
Its magnetic moment is 0.000 Bohr magnetons per cell. The value obtained for the uncorrected formation energy is -122 meV per atom. As for the energy above the lowest structure with this stoichiometry: 83 meV/atom.



No. 9
DFT (GGA-PBE) results for In4Hg3Br4 after structural relaxation.

Structure (POSCAR):
```
In4Hg3Br4
1.0
6.3563 0.0000 0.0000
-0.7108 7.8580 0.0000
-1.4671 -3.4964 7.6184
In Hg Br
4 3 4
direct
0.0636 0.0507 0.3055
0.4349 0.3479 0.1713
0.5651 0.6521 0.8287
0.9364 0.9493 0.6945
0.0000 0.5000 0.5000
0.3717 0.8134 0.5022
0.6283 0.1866 0.4978
0.2185 0.8578 0.9698
0.2596 0.3074 0.8134
0.7404 0.6926 0.1866
0.7815 0.1422 0.0302
```

Results
Its magnetic moment is 0.000 Bohr magnetons per cell. The value obtained for the uncorrected formation energy is -445 meV per atom.



No. 10
DFT (GGA-PBE) results for In2HgBr2 after structural relaxation.

Structure (POSCAR):
```
In2HgBr2
1.0
8.6254 0.0000 0.0000
0.0000 8.6254 0.0000
0.0000 0.0000 4.4139
In Hg Br
4 2 4
direct
0.1451 0.3549 0.0000
0.3549 0.8549 0.0000
0.6451 0.1451 0.0000
0.8549 0.6451 0.0000
0.0000 0.0000 0.0000
0.5000 0.5000 0.0000
0.1677 0.6677 0.5000
0.3323 0.1677 0.5000
0.6677 0.8323 0.5000
0.8323 0.3323 0.5000
```

Results
Its magnetic moment is 0.000 Bohr magnetons per cell. The value obtained for the uncorrected formation energy is -499 meV per atom. As for the energy above the lowest structure with this stoichiometry: 8 meV/atom.



No. 11
DFT (GGA-PBE) results for InHg2Br after structural relaxation.

Structure (POSCAR):
```
InHg2Br
1.0
3.9419 0.0000 0.0000
0.0000 3.9419 0.0000
0.0000 0.0000 8.4989
In Hg Br
1 2 1
direct
0.0000 0.0000 0.0000
0.0000 0.0000 0.4968
0.5000 0.5000 0.7225
0.5000 0.5000 0.1750
```

Results
Its magnetic moment is 0.000 Bohr magnetons per cell. The value obtained for the uncorrected formation energy is -281 meV per atom. As for the energy above the lowest structure with this stoichiometry: 38 meV/atom.



No. 12
DFT (GGA-PBE) results for In4Hg8Br after structural relaxation.

Structure (POSCAR):
```
In4Hg8Br
1.0
0.0000 5.9085 5.9085
5.9085 0.0000 5.9085
5.9085 5.9085 0.0000
In Hg Br
4 8 1
direct
0.3957 0.3957 0.3957
0.3957 0.3957 0.8129
0.3957 0.8129 0.3957
0.8129 0.3957 0.3957
0.0358 0.6547 0.6547
0.1427 0.1427 0.1427
0.1427 0.1427 0.5720
0.1427 0.5720 0.1427
0.5720 0.1427 0.1427
0.6547 0.0358 0.6547
0.6547 0.6547 0.0358
0.6547 0.6547 0.6547
0.0000 0.0000 0.0000
```

Results
Its magnetic moment is 0.000 Bohr magnetons per cell. The value obtained for the uncorrected formation energy is 20 meV per atom.



No. 13
DFT (GGA-PBE) results for In5HgBr5 after structural relaxation.

Structure (POSCAR):
```
In5HgBr5
1.0
7.1368 -3.2405 0.0000
7.1368 3.2405 0.0000
-2.9847 0.0000 8.7384
In Hg Br
5 1 5
direct
0.0000 0.0000 0.0000
0.3375 0.3375 0.6592
0.3426 0.3426 0.1732
0.6574 0.6574 0.8268
0.6625 0.6625 0.3408
0.5000 0.5000 0.0000
0.1655 0.1655 0.8419
0.1785 0.1785 0.3315
0.5000 0.5000 0.5000
0.8215 0.8215 0.6685
0.8345 0.8345 0.1581
```

Results
Its magnetic moment is 0.000 Bohr magnetons per cell. The value obtained for the uncorrected formation energy is -562 meV per atom.



No. 14
DFT (GGA-PBE) results for InHg2Br after structural relaxation.

Structure (POSCAR):
```
InHg2Br
1.0
4.6284 0.0000 0.0000
0.0000 4.3203 0.0000
-2.2925 0.0000 6.5888
In Hg Br
1 2 1
direct
0.0000 0.0000 0.0000
0.1848 0.5000 0.3861
0.7492 0.0000 0.5177
0.4480 0.5000 0.9037
```

Results
Its magnetic moment is 0.000 Bohr magnetons per cell. The value obtained for the uncorrected formation energy is -296 meV per atom. As for the energy above the lowest structure with this stoichiometry: 23 meV/atom.



No. 15
DFT (GGA-PBE) results for In2Hg3Br2 after structural relaxation.

Structure (POSCAR):
```
In2Hg3Br2
1.0
4.4955 0.0000 0.0000
0.0000 4.4475 0.0000
-1.5882 0.0000 14.2786
In Hg Br
2 3 2
direct
0.0120 0.0000 0.2121
0.9880 0.0000 0.7879
0.0000 0.0000 0.0000
0.2366 0.0000 0.4207
0.7634 0.0000 0.5793
0.4719 0.5000 0.7864
0.5281 0.5000 0.2136
```

Results
Its magnetic moment is 0.000 Bohr magnetons per cell. The value obtained for the uncorrected formation energy is -320 meV per atom.



No. 16
DFT (GGA-PBE) results for InHg2Br after structural relaxation.

Structure (POSCAR):
```
InHg2Br
1.0
2.7317 -2.7424 0.0000
2.7317 2.7424 0.0000
0.0000 0.0000 7.6234
In Hg Br
1 2 1
direct
0.0000 0.0000 0.0000
0.5000 0.5000 0.2477
0.5000 0.5000 0.7523
0.0000 0.0000 0.5000
```

Results
Its magnetic moment is 0.000 Bohr magnetons per cell. The value obtained for the uncorrected formation energy is -173 meV per atom. As for the energy above the lowest structure with this stoichiometry: 146 meV/atom.



No. 17
DFT (GGA-PBE) results for In2Hg2Br3 after structural relaxation.

Structure (POSCAR):
```
In2Hg2Br3
1.0
4.3788 0.0000 0.0000
-2.1784 7.3841 0.0000
-2.0054 -1.4068 7.5233
In Hg Br
2 2 3
direct
0.2062 0.3013 0.1382
0.7938 0.6987 0.8618
0.2748 0.1037 0.4393
0.7252 0.8963 0.5607
0.1036 0.3972 0.7870
0.5000 0.0000 0.0000
0.8964 0.6028 0.2130
```

Results
Its magnetic moment is 0.000 Bohr magnetons per cell. The value obtained for the uncorrected formation energy is -467 meV per atom.



No. 18
DFT (GGA-PBE) results for In2Hg3Br4 after structural relaxation.

Structure (POSCAR):
```
In2Hg3Br4
1.0
5.6752 0.0000 0.0000
2.8320 9.8208 0.0000
2.8365 1.8670 10.9407
In Hg Br
4 6 8
direct
0.0725 0.0429 0.3116
0.1316 0.3296 0.9078
0.8684 0.6704 0.0922
0.9275 0.9571 0.6884
0.2137 0.0374 0.0357
0.2518 0.3591 0.6402
0.3283 0.4677 0.3736
0.6717 0.5323 0.6264
0.7482 0.6409 0.3598
0.7863 0.9626 0.9643
0.0143 0.6210 0.8480
0.1003 0.8029 0.4976
0.3515 0.6971 0.0994
0.4098 0.9610 0.7194
0.5902 0.0390 0.2806
0.6484 0.3029 0.9006
0.8997 0.1971 0.5024
0.9857 0.3790 0.1520
```

Results
Its magnetic moment is 0.000 Bohr magnetons per cell. The value obtained for the uncorrected formation energy is -439 meV per atom.



No. 19
DFT (GGA-PBE) results for In3Hg5Br12 after structural relaxation.

Structure (POSCAR):
```
In3Hg5Br12
1.0
-9.0037 9.0037 9.0037
9.0037 -9.0037 9.0037
9.0037 9.0037 -9.0037
In Hg Br
12 20 48
direct
0.1250 0.2500 0.3750
0.1250 0.3750 0.7500
0.2500 0.3750 0.1250
0.2500 0.8750 0.6250
0.3750 0.1250 0.2500
0.3750 0.7500 0.1250
0.6250 0.2500 0.8750
0.6250 0.8750 0.7500
0.7500 0.1250 0.3750
0.7500 0.6250 0.8750
0.8750 0.6250 0.2500
0.8750 0.7500 0.6250
0.0000 0.0000 0.0000
0.0000 0.0000 0.5000
0.0000 0.5000 0.0000
0.0000 0.5000 0.5000
0.1250 0.7500 0.8750
0.1250 0.8750 0.2500
0.2500 0.1250 0.8750
0.2500 0.6250 0.3750
0.3750 0.2500 0.6250
0.3750 0.6250 0.7500
0.5000 0.0000 0.0000
0.5000 0.0000 0.5000
0.5000 0.5000 0.0000
0.5000 0.5000 0.5000
0.6250 0.3750 0.2500
0.6250 0.7500 0.3750
0.7500 0.3750 0.6250
0.7500 0.8750 0.1250
0.8750 0.1250 0.7500
0.8750 0.2500 0.1250
0.0274 0.2058 0.1188
0.0274 0.3216 0.9087
0.0870 0.7058 0.6784
0.0870 0.8812 0.4087
0.0913 0.6188 0.4130
0.0913 0.9726 0.6784
0.1188 0.0274 0.2058
0.1188 0.5913 0.9130
0.1784 0.2058 0.5870
0.1784 0.4726 0.5913
0.2058 0.1188 0.0274
0.2058 0.5870 0.1784
0.2942 0.3216 0.9130
0.2942 0.4726 0.3812
0.3216 0.9087 0.0274
0.3216 0.9130 0.2942
0.3812 0.2942 0.4726
0.3812 0.5870 0.9087
0.4087 0.0870 0.8812
0.4087 0.8216 0.5274
0.4130 0.0913 0.6188
0.4130 0.8216 0.7942
0.4726 0.3812 0.2942
0.4726 0.5913 0.1784
0.5274 0.4087 0.8216
0.5274 0.6188 0.7058
0.5870 0.1784 0.2058
0.5870 0.9087 0.3812
0.5913 0.1784 0.4726
0.5913 0.9130 0.1188
0.6188 0.4130 0.0913
0.6188 0.7058 0.5274
0.6784 0.0870 0.7058
0.6784 0.0913 0.9726
0.7058 0.5274 0.6188
0.7058 0.6784 0.0870
0.7942 0.4130 0.8216
0.7942 0.8812 0.9726
0.8216 0.5274 0.4087
0.8216 0.7942 0.4130
0.8812 0.4087 0.0870
0.8812 0.9726 0.7942
0.9087 0.0274 0.3216
0.9087 0.3812 0.5870
0.9130 0.1188 0.5913
0.9130 0.2942 0.3216
0.9726 0.6784 0.0913
0.9726 0.7942 0.8812
```

Results
Its magnetic moment is 0.000 Bohr magnetons per cell. The value obtained for the uncorrected formation energy is -456 meV per atom.



No. 20
DFT (GGA-PBE) results for In2Hg2Br after structural relaxation.

Structure (POSCAR):
```
In2Hg2Br
1.0
8.6191 0.0000 0.0000
0.0000 8.6191 0.0000
0.0000 0.0000 4.0288
In Hg Br
4 4 2
direct
0.1796 0.3204 0.0000
0.3204 0.8204 0.0000
0.6796 0.1796 0.0000
0.8204 0.6796 0.0000
0.1294 0.6294 0.5000
0.3706 0.1294 0.5000
0.6294 0.8706 0.5000
0.8706 0.3706 0.5000
0.0000 0.0000 0.0000
0.5000 0.5000 0.0000
```

Results
Its magnetic moment is 0.000 Bohr magnetons per cell. The value obtained for the uncorrected formation energy is -205 meV per atom. As for the energy above the lowest structure with this stoichiometry: 0 meV/atom.



No. 21
DFT (GGA-PBE) results for InHg2Br2 after structural relaxation.

Structure (POSCAR):
```
InHg2Br2
1.0
-3.0792 3.0792 4.3414
3.0792 -3.0792 4.3414
3.0792 3.0792 -4.3414
In Hg Br
1 2 2
direct
0.0000 0.0000 0.0000
0.3427 0.3427 0.0000
0.6573 0.6573 0.0000
0.2500 0.7500 0.5000
0.7500 0.2500 0.5000
```

Results
Its magnetic moment is 0.000 Bohr magnetons per cell. The value obtained for the uncorrected formation energy is -268 meV per atom. As for the energy above the lowest structure with this stoichiometry: 0 meV/atom.